A plane-wave DFT calculation with GGA-PBE was carried out for an optimized crystal structure of LiAl3Ga3.

Cell: 7.185 7.185 7.185 Å, 90.00 90.00 90.00°
Space group Pm-3n (No. 223)
Asymmetric unit:
Li 0.000 0.000 0.000 x2
Al 0.000 0.250 0.500 x6
Ga 0.000 0.500 0.250 x6

Results
* calculated formation energy: 354 meV/atom
* energy above the lowest structure with this stoichiometry: 362 meV/atom